Below is crystalline TbTm3 at its relaxed geometry, with properties calculated at the PBE-GGA level.

It has space group Imm2 (No. 44), with a = 3.579 Å, b = 11.103 Å, c = 6.187 Å, α = 90.00°, β = 90.00° and γ = 90.00°. Symmetry generates all atoms from Tb at (0.000, 0.000, 0.000), Tm at (0.000, 0.249, 0.666) and Tm at (0.000, 0.500, 0.999).

The calculation puts the calculated total energy at -4.511 eV/atom. The energy of formation from the pure elements comes out at 0.00 eV/atom. Its energy relative to the lowest polymorph listed for this composition is 0.000 eV per atom. The size of the total moment is 0.000 μB/atom.

Below is crystalline Tb7Tm2 at its relaxed geometry, with properties calculated at the PBE-GGA level.

It has space group P-62m (No. 189), with a = 9.6594 Å, b = 9.6594 Å, c = 3.5042 Å, α = 90.00°, β = 90.00° and γ = 120.00°. Symmetry generates all atoms from Tb at (0.0000, 0.0000, 0.0000), Tb at (0.0000, 0.3035, 0.5000), Tb at (0.0000, 0.6355, 0.0000) and Tm at (0.3333, 0.6667, 0.5000).

The calculation puts the calculated total energy at -4.555 eV/atom. The energy of formation from the pure elements comes out at 0.04 eV/atom. Its energy relative to the lowest polymorph listed for this composition is 0.020 eV per atom. The size of the total moment is 0.000 μB/atom.

size of the total moment of number 1 (TbTm3)?
0.000 μB/atom

Among the records above, which one has the lowest energy of formation from the pure elements?
TbTm3

What is the size of the total moment in the second record?
0.000 μB/atom